[1]
Material: SmU2RuC4
Method: DFT, GGA-PBE
State: relaxed

- Formation energy: -47 meV per atom
- V: 15.063 Å³/atom
- Space-group type: Cmcm
- Final energy: -147.7 eV/cell
- Total moment: 0.0 Bohr magnetons per cell

abc: 3.5574 6.0616 11.6917
angles: 90.00 90.00 107.06
Closest atoms and distances in Å follow each position.
Element x y z (fractional)
U (0.6291, 0.2583, 0.4518)  6 C 2.29-2.49
U (0.3709, 0.7417, 0.9518)  6 C 2.29-2.49
U (0.6291, 0.2583, 0.0482)  6 C 2.29-2.49
U (0.3709, 0.7417, 0.5482)  6 C 2.29-2.49
C (0.0000, 0.0000, 0.0000)  4 U 2.39
C (0.2581, 0.5161, 0.1129)  1 Ru 2.00
C (0.7419, 0.4839, 0.6129)  1 Ru 2.00
C (0.2581, 0.5161, 0.3871)  1 Ru 2.00
C (0.7419, 0.4839, 0.8871)  1 Ru 2.00
C (0.0000, 0.0000, 0.5000)  4 U 2.39
C (0.4406, 0.8811, 0.7500)  2 Ru 2.10
C (0.5594, 0.1189, 0.2500)  2 Ru 2.10
Sm (0.8931, 0.7861, 0.2500)  6 C 2.62-2.86
Sm (0.1069, 0.2139, 0.7500)  6 C 2.62-2.86
Ru (0.8448, 0.6897, 0.7500)  4 C 2.00-2.10
Ru (0.1552, 0.3103, 0.2500)  4 C 2.00-2.10

=====

[2]
Material: SmZn2Ru2C
Method: DFT, GGA-PBE
State: relaxed

- Formation energy: -268 meV per atom
- V: 15.613 Å³/atom
- Space-group type: P4/mmm
- Final energy: -36.7 eV/cell
- Total moment: 0.0 Bohr magnetons per cell

abc: 4.1120 4.1120 5.5404
angles: 90.00 90.00 90.00
Closest atoms and distances in Å follow each position.
Element x y z (fractional)
Zn (0.5000, 0.5000, 0.2816)  1 Zn 2.42, 4 Ru 2.58
Zn (0.5000, 0.5000, 0.7184)  1 Zn 2.42, 4 Ru 2.58
Ru (0.0000, 0.5000, 0.0000)  2 C 2.06
Ru (0.5000, 0.0000, 0.0000)  2 C 2.06
C (0.0000, 0.0000, 0.0000)  4 Ru 2.06
Sm (0.0000, 0.0000, 0.5000)  2 C 2.77

=====

[3]
Material: Sm2Zn2Ru2C
Method: DFT, GGA-PBE
State: relaxed

- Formation energy: -312 meV per atom
- V: 18.348 Å³/atom
- Space-group type: C2/m
- Final energy: -41.9 eV/cell
- Total moment: 0.0 Bohr magnetons per cell

abc: 3.9288 5.7702 6.4585
angles: 73.45 72.29 70.10
Closest atoms and distances in Å follow each position.
Element x y z (fractional)
C (0.0000, 0.0000, 0.0000)  2 Ru 1.89
Sm (0.5668, 0.1529, 0.7135)  2 C 2.66
Sm (0.4332, 0.8471, 0.2865)  2 C 2.66
Zn (0.8631, 0.6044, 0.6694)  1 Zn 2.57, 3 Ru 2.61-2.62
Zn (0.1369, 0.3956, 0.3306)  1 Zn 2.57, 3 Ru 2.61-2.62
Ru (0.1961, 0.6758, 0.9320)  1 C 1.89
Ru (0.8039, 0.3242, 0.0680)  1 C 1.89

=====

[4]
Material: SnRu2C
Method: DFT, GGA-PBE
State: relaxed

- Formation energy: 1179 meV per atom
- V: 14.073 Å³/atom
- Space-group type: Fm-3m
- Relative energy among the computed polymorphs: 922 meV/atom
- Final energy: -27.1 eV/cell
- Total moment: 0.0 Bohr magnetons per cell

abc: 4.3019 4.3019 4.3019
angles: 60.00 60.00 60.00
Closest atoms and distances in Å follow each position.
Element x y z (fractional)
Ru (0.2500, 0.2500, 0.2500)  4 Sn 2.63, 4 C 2.63
Ru (0.7500, 0.7500, 0.7500)  4 Sn 2.63, 4 C 2.63
Sn (0.5000, 0.5000, 0.5000)  8 Ru 2.63
C (0.0000, 0.0000, 0.0000)  8 Ru 2.63